Record 1
The following is a PBE calculation of a relaxed structure of U2CoMo, from Alexandria.

Lattice parameters (Å, degrees): 3.9381 3.9381 17.0733 90.00 90.00 120.00
Last column: nearest neighbours and their distance in Å.
Space group R-3m (No. 166, hexagonal axes)
Asymmetric unit:
U  0.0000  0.0000  0.2451 [6 per cell]  3 Co 2.64, 3 Mo 2.73
Co  0.0000  0.0000  0.5000 [3 per cell]  6 U 2.64
Mo  0.0000  0.0000  0.0000 [3 per cell]  6 U 2.73

Output
For the formation energy, the calculation gives 155 kJ/mol of formula units. Its crystal system is trigonal.

Record 2
The following is a PBE calculation of a relaxed structure of Ba2YAu2O6, from Alexandria.

Lattice parameters (Å, degrees): 6.3480 6.3480 17.8577 90.00 90.00 120.00
Last column: nearest neighbours and their distance in Å.
Space group R-3m (No. 166, hexagonal axes)
Asymmetric unit:
Ba  0.0000  0.0000  0.2116 [6 per cell]  3 O 2.72
Y  0.0000  0.0000  0.0000 [3 per cell]  6 O 2.26
Au  0.0000  0.0000  0.4156 [6 per cell]  3 O 2.06
O  0.0399  0.5199  0.7557 [18 per cell]  1 Au 2.06, 1 Y 2.26

Output
Its formation energy (no corrections) is -1564.2 meV/atom. Its crystal system is trigonal.

Record 3
The following is a PBE calculation of a relaxed structure of CsMnGaRh2, from Alexandria.

Lattice parameters (Å, degrees): 4.5791 4.5791 5.4946 90.00 90.00 90.00
Last column: nearest neighbours and their distance in Å.
Space group P4/mmm (No. 123)
Asymmetric unit:
Cs  0.0000  0.0000  0.0000 [1 per cell]  2 Mn 2.75
Mn  0.0000  0.0000  0.5000 [1 per cell]  4 Rh 2.29
Ga  0.5000  0.5000  0.0000 [1 per cell]  4 Cs 3.24, 8 Rh 3.58
Rh  0.0000  0.5000  0.5000 [2 per cell]  2 Mn 2.29

Output
For the formation energy, the calculation gives 550 kJ/mol of formula units. Its crystal system is tetragonal.

Record 4
The following is a PBE calculation of a relaxed structure of CaCdMo2, from Alexandria.

Lattice parameters (Å, degrees): 8.1293 8.1293 5.2513 90.00 90.00 90.00
Last column: nearest neighbours and their distance in Å.
Space group I-42d (No. 122)
Asymmetric unit:
Ca  0.0000  0.0000  0.0000 [4 per cell]  2 Cd 2.63
Cd  0.0000  0.0000  0.5000 [4 per cell]  2 Ca 2.63, 4 Mo 2.75
Mo  0.2133  0.2500  0.6250 [8 per cell]  2 Mo 2.69, 2 Cd 2.75

Output
For the formation energy, the calculation gives 454 kJ/mol of formula units. Its crystal system is tetragonal.

Record 5
The following is a PBE calculation of a relaxed structure of Ho2MgGa6, from Alexandria.

Lattice parameters (Å, degrees): 4.3168 6.6771 13.4660 90.00 90.00 90.00
Last column: nearest neighbours and their distance in Å.
Space group Immm (No. 71)
Asymmetric unit:
Ho  0.0000  0.0000  0.1232 [4 per cell]  10 Ga 2.86-3.09
Mg  0.0000  0.5000  0.0000 [2 per cell]  4 Ga 2.93
Ga  0.0000  0.1967  0.3117 [8 per cell]  4 Ga 2.62-2.82, 1 Ho 2.86
Ga  0.0000  0.2964  0.5000 [4 per cell]  3 Ga 2.62-2.72, 2 Mg 2.93

Output
For the formation energy, the calculation gives -304 kJ/mol of formula units. Its crystal system is orthorhombic.

Record 6
The following is a PBE calculation of a relaxed structure of Mg4InRh, from Alexandria.

Lattice parameters (Å, degrees): 7.7903 7.7903 7.7903 90.00 90.00 90.00
Last column: nearest neighbours and their distance in Å.
Space group F-43m (No. 216)
Asymmetric unit:
Mg  0.1244  0.1244  0.1244 [16 per cell]  6 Mg 2.74-2.77
In  0.0000  0.0000  0.5000 [4 per cell]  12 Mg 3.23, 4 Rh 3.37
Rh  0.2500  0.2500  0.7500 [4 per cell]  12 Mg 3.23, 4 In 3.37

Output
For the formation energy, the calculation gives 53 kJ/mol of formula units. Its crystal system is cubic. The energy above the lowest structure with this stoichiometry comes out at 0.3151 eV/atom.

Number 1: E_tot -9.726 eV/atom. Number 2: E_tot -5.802 eV/atom. Number 3: E_tot -4.410 eV/atom. Number 4: E_tot -4.969 eV/atom. Number 5: E_tot -3.562 eV/atom. Number 6: E_tot -2.653 eV/atom.